Entry 1:
Here is crystalline Ti6Ga16Ru7 at its relaxed geometry from Alexandria via LeMat-Bulk. Energies are from PBE.

a = 8.6199 Å, b = 8.6199 Å, c = 8.6199 Å
α = 60.00°, β = 60.00°, γ = 60.00°
Fractional positions:
1 Ti 0.2131 0.7869 0.2131
2 Ti 0.2131 0.7869 0.7869
3 Ti 0.7869 0.2131 0.7869
4 Ti 0.7869 0.2131 0.2131
5 Ti 0.2131 0.2131 0.7869
6 Ti 0.7869 0.7869 0.2131
7 Ru 0.5000 0.0000 0.5000
8 Ru 0.0000 0.5000 0.0000
9 Ru 0.0000 0.5000 0.5000
10 Ru 0.0000 0.0000 0.5000
11 Ru 0.5000 0.5000 0.0000
12 Ru 0.5000 0.0000 0.0000
13 Ru 0.0000 0.0000 0.0000
14 Ga 0.4404 0.8532 0.8532
15 Ga 0.8679 0.3774 0.3774
16 Ga 0.1468 0.5596 0.1468
17 Ga 0.1468 0.1468 0.1468
18 Ga 0.5596 0.1468 0.1468
19 Ga 0.6226 0.6226 0.6226
20 Ga 0.1321 0.6226 0.6226
21 Ga 0.1468 0.1468 0.5596
22 Ga 0.3774 0.3774 0.3774
23 Ga 0.8532 0.8532 0.8532
24 Ga 0.6226 0.1321 0.6226
25 Ga 0.8532 0.4404 0.8532
26 Ga 0.3774 0.3774 0.8679
27 Ga 0.8532 0.8532 0.4404
28 Ga 0.6226 0.6226 0.1321
29 Ga 0.3774 0.8679 0.3774

Results
energy relative to the elements = -408 meV per atom
SG = No. 225
M_tot = 0.000 Bohr magnetons per cell



Entry 2:
Here is crystalline TiGa5Ru6 at its relaxed geometry from Alexandria via LeMat-Bulk. Energies are from PBE.

a = 4.3033 Å, b = 6.0687 Å, c = 6.7849 Å
α = 90.00°, β = 108.45°, γ = 90.00°
Fractional positions:
1 Ru 0.5000 0.2572 0.0000
2 Ru 0.8300 0.7496 0.6607
3 Ru 0.1700 0.7496 0.3393
4 Ru 0.1700 0.2504 0.3393
5 Ru 0.8300 0.2504 0.6607
6 Ru 0.5000 0.7428 0.0000
7 Ga 0.3342 0.5000 0.6689
8 Ga 0.0000 0.5000 0.0000
9 Ga 0.6658 0.5000 0.3311
10 Ga 0.3383 0.0000 0.6772
11 Ga 0.6617 0.0000 0.3228
12 Ti 0.0000 0.0000 0.0000

Results
energy relative to the elements = -431 meV per atom
SG = No. 65
M_tot = 0.001 Bohr magnetons per cell



Entry 3:
Here is crystalline Zr2TiGa2Ru5 at its relaxed geometry from Alexandria via LeMat-Bulk. Energies are from PBE.

a = 3.3118 Å, b = 9.8431 Å, c = 9.8431 Å
α = 90.00°, β = 90.00°, γ = 90.00°
Fractional positions:
1 Ti 0.0000 0.5000 0.5000
2 Ti 0.0000 0.0000 0.0000
3 Zr 0.0000 0.6704 0.1704
4 Zr 0.0000 0.3296 0.8296
5 Zr 0.0000 0.1704 0.3296
6 Zr 0.0000 0.8296 0.6704
7 Ru 0.5000 0.0000 0.5000
8 Ru 0.5000 0.6989 0.4388
9 Ru 0.5000 0.1989 0.0612
10 Ru 0.5000 0.3011 0.5612
11 Ru 0.5000 0.5000 0.0000
12 Ru 0.5000 0.4388 0.3011
13 Ru 0.5000 0.8011 0.9388
14 Ru 0.5000 0.9388 0.1989
15 Ru 0.5000 0.0612 0.8011
16 Ru 0.5000 0.5612 0.6989
17 Ga 0.0000 0.6303 0.8697
18 Ga 0.0000 0.3697 0.1303
19 Ga 0.0000 0.1303 0.6303
20 Ga 0.0000 0.8697 0.3697

Results
energy relative to the elements = -421 meV per atom
SG = No. 127
M_tot = 0.000 Bohr magnetons per cell



Entry 4:
Here is crystalline Tl3GaRu at its relaxed geometry from Alexandria via LeMat-Bulk. Energies are from PBE.

a = 5.2903 Å, b = 5.2903 Å, c = 5.2903 Å
α = 90.00°, β = 90.00°, γ = 90.00°
Fractional positions:
1 Ru 0.0000 0.0000 0.0000
2 Tl 0.5000 0.0000 0.0000
3 Tl 0.0000 0.0000 0.5000
4 Tl 0.0000 0.5000 0.0000
5 Ga 0.5000 0.5000 0.5000

Results
energy relative to the elements = 369 meV per atom
SG = No. 221
M_tot = 0.000 Bohr magnetons per cell



Entry 5:
Here is crystalline Tl3GaRu at its relaxed geometry from Alexandria via LeMat-Bulk. Energies are from PBE.

a = 5.3388 Å, b = 5.3388 Å, c = 5.3388 Å
α = 90.00°, β = 90.00°, γ = 90.00°
Each line ends with the local moment (μB).
Fractional positions:
1 Tl 0.0000 0.0000 0.5000  0.02
2 Tl 0.5000 0.0000 0.0000  -0.01
3 Tl 0.0000 0.5000 0.0000  -0.02
4 Ru 0.5000 0.5000 0.5000  2.33
5 Ga 0.0000 0.0000 0.0000  0.05

Results
energy relative to the elements = 1121 meV per atom
SG = No. 221
M_tot = 2.577 Bohr magnetons per cell



Entry 6:
Here is crystalline TlGa2Ru at its relaxed geometry from Alexandria via LeMat-Bulk. Energies are from PBE.

a = 4.7182 Å, b = 4.7182 Å, c = 4.7182 Å
α = 60.00°, β = 60.00°, γ = 60.00°
Fractional positions:
1 Ga 0.2500 0.2500 0.2500
2 Ga 0.7500 0.7500 0.7500
3 Tl 0.5000 0.5000 0.5000
4 Ru 0.0000 0.0000 0.0000

Results
energy relative to the elements = 426 meV per atom
SG = No. 225
M_tot = 0.000 Bohr magnetons per cell



Entry 7:
Here is crystalline TlGa2Ru at its relaxed geometry from Alexandria via LeMat-Bulk. Energies are from PBE.

a = 4.1790 Å, b = 4.1790 Å, c = 9.5257 Å
α = 77.33°, β = 77.33°, γ = 90.00°
Fractional positions:
1 Tl 0.7500 0.2500 0.5000
2 Tl 0.0000 0.0000 0.0000
3 Ru 0.5000 0.5000 0.0000
4 Ru 0.2500 0.7500 0.5000
5 Ga 0.5573 0.1250 0.2500
6 Ga 0.3750 0.4427 0.7500
7 Ga 0.8750 0.8073 0.7500
8 Ga 0.1927 0.6250 0.2500

Results
energy relative to the elements = 330 meV per atom
SG = No. 122
M_tot = 0.000 Bohr magnetons per cell



Entry 8:
Here is crystalline TlGaRu2W at its relaxed geometry from Alexandria via LeMat-Bulk. Energies are from PBE.

a = 4.5700 Å, b = 4.7111 Å, c = 4.5700 Å
α = 90.00°, β = 90.00°, γ = 90.00°
Each line ends with the local moment (μB).
Fractional positions:
1 Tl 0.5000 0.5000 0.5000  0.00
2 Ga 0.0000 0.0000 0.0000  0.02
3 Ru 0.5000 0.0000 0.0000  0.52
4 Ru 0.0000 0.0000 0.5000  0.80
5 W 0.0000 0.5000 0.0000  1.01

Results
energy relative to the elements = 1415 meV per atom
SG = No. 123
M_tot = 2.623 Bohr magnetons per cell



Entry 9:
Here is crystalline YTl2GaRu at its relaxed geometry from Alexandria via LeMat-Bulk. Energies are from PBE.

a = 5.4546 Å, b = 5.2704 Å, c = 5.4546 Å
α = 90.00°, β = 90.00°, γ = 90.00°
Fractional positions:
1 Y 0.0000 0.5000 0.0000
2 Ru 0.0000 0.0000 0.0000
3 Tl 0.5000 0.0000 0.0000
4 Tl 0.0000 0.0000 0.5000
5 Ga 0.5000 0.5000 0.5000

Results
energy relative to the elements = 186 meV per atom
SG = No. 123
M_tot = 0.000 Bohr magnetons per cell



Entry 10:
Here is crystalline Y2TlGaRu at its relaxed geometry from Alexandria via LeMat-Bulk. Energies are from PBE.

a = 5.2387 Å, b = 4.7061 Å, c = 5.2387 Å
α = 90.00°, β = 90.00°, γ = 90.00°
Fractional positions:
1 Ga 0.0000 0.0000 0.0000
2 Y 0.5000 0.0000 0.0000
3 Y 0.0000 0.0000 0.5000
4 Tl 0.0000 0.5000 0.0000
5 Ru 0.5000 0.5000 0.5000

Results
energy relative to the elements = 779 meV per atom
SG = No. 123
M_tot = 0.008 Bohr magnetons per cell



Entry 11:
Here is crystalline Tm3Ga9Ru2 at its relaxed geometry from Alexandria via LeMat-Bulk. Energies are from PBE.

a = 4.2311 Å, b = 8.0614 Å, c = 8.0614 Å
α = 71.68°, β = 74.79°, γ = 74.79°
Fractional positions:
1 Ga 0.3472 0.0180 0.2875
2 Ga 0.3472 0.2875 0.0180
3 Ga 0.6528 0.9820 0.7125
4 Ga 0.0000 0.5000 0.5000
5 Ga 0.1333 0.5830 0.1505
6 Ga 0.8667 0.8495 0.4170
7 Ga 0.8667 0.4170 0.8495
8 Ga 0.6528 0.7125 0.9820
9 Ga 0.1333 0.1505 0.5830
10 Tm 0.0000 0.0000 0.0000
11 Tm 0.6989 0.3011 0.3011
12 Tm 0.3011 0.6989 0.6989
13 Ru 0.5000 0.3273 0.6727
14 Ru 0.5000 0.6727 0.3273

Results
energy relative to the elements = -558 meV per atom
SG = No. 71
M_tot = 0.000 Bohr magnetons per cell



The records above yield D(E_F) values of 7.8, 11.9, 8.4, 3.8, 6.3, 4.3, 3.4, 4.5, 4.0, 5.7, 5.8 states/eV/f.u., respectively.
The records above yield VASP energy values of -5.95, -6.99, -8.16, -3.51, -2.76, -4.00, -4.09, -5.96, -4.51, -4.74, -4.79 eV/atom, respectively.